No. 1
This record from Alexandria describes ZrTiNb3 after structural relaxation. The functional is PBE-GGA.

Lattice parameters (Å, degrees): 4.737 4.737 4.737 90.00 90.00 90.00
Sites, in units of the cell vectors:
Zr: 0.000 0.000 0.000
Ti: 0.500 0.500 0.500
Nb: 0.000 0.500 0.500
Nb: 0.500 0.000 0.500
Nb: 0.500 0.500 0.000

## Properties
The calculation puts the total energy at -8.38 eV per atom. The relative energy among the computed polymorphs is 84.78 kJ per mole of atoms. The volume is 21.3 Å³/atom.

***

No. 2
This record from Alexandria describes Ir2RuAu after structural relaxation. The functional is PBE-GGA.

Lattice parameters (Å, degrees): 4.464 4.464 4.464 60.00 60.00 60.00
Sites, in units of the cell vectors:
Ir: 0.250 0.250 0.250
Ir: 0.750 0.750 0.750
Ru: 0.000 0.000 0.000
Au: 0.500 0.500 0.500

## Properties
The calculation puts the total energy at -6.94 eV per atom. The relative energy among the computed polymorphs is 45.21 kJ per mole of atoms. The volume is 15.7 Å³/atom.